Compound: Dy5Al4Ga
Source: Alexandria via LeMat-Bulk
Functional: PBE-GGA
Structure: optimized geometry

Calculated values
uncorrected energy: -45.33 eV for the cell shown
total moment: 0.00 μB/f.u.

abc: 3.582 3.582 18.108
angles: 90.00 90.00 90.00
Fractional coordinates of all 10 atoms:
Dy: 0.000 0.000 0.000
Dy: 0.000 0.000 0.200
Dy: 0.000 0.000 0.402
Dy: 0.000 0.000 0.598
Dy: 0.000 0.000 0.800
Al: 0.500 0.500 0.100
Al: 0.500 0.500 0.300
Al: 0.500 0.500 0.700
Al: 0.500 0.500 0.900
Ga: 0.500 0.500 0.500

---

Compound: Dy5Al2Ga
Source: Alexandria via LeMat-Bulk
Functional: PBE-GGA
Structure: optimized geometry

Calculated values
uncorrected energy: -72.59 eV for the cell shown
total moment: 0.00 μB/f.u.

abc: 8.985 8.985 8.985
angles: 129.28 129.28 74.56
Fractional coordinates of all 16 atoms:
Dy: 0.000 0.000 0.000
Dy: 0.020 0.520 0.840
Dy: 0.180 0.020 0.500
Dy: 0.320 0.820 0.840
Dy: 0.480 0.320 0.500
Dy: 0.500 0.500 0.000
Dy: 0.520 0.680 0.500
Dy: 0.680 0.180 0.160
Dy: 0.820 0.980 0.500
Dy: 0.980 0.480 0.160
Al: 0.121 0.379 0.500
Al: 0.379 0.879 0.259
Al: 0.621 0.121 0.741
Al: 0.879 0.621 0.500
Ga: 0.250 0.250 0.000
Ga: 0.750 0.750 0.000

---

Compound: Dy3Al3Ga
Source: Alexandria via LeMat-Bulk
Functional: PBE-GGA
Structure: optimized geometry

Calculated values
uncorrected energy: -62.68 eV for the cell shown
total moment: 0.60 μB/f.u.

abc: 3.646 4.463 19.502
angles: 90.00 90.00 90.00
Fractional coordinates of all 14 atoms:
Dy: 0.000 0.000 0.000
Dy: 0.000 0.000 0.388
Dy: 0.000 0.500 0.196
Dy: 0.500 0.000 0.696
Dy: 0.500 0.500 0.500
Dy: 0.500 0.500 0.888
Al: 0.000 0.000 0.556
Al: 0.000 0.000 0.834
Al: 0.000 0.500 0.629
Al: 0.500 0.000 0.129
Al: 0.500 0.500 0.056
Al: 0.500 0.500 0.334
Ga: 0.000 0.500 0.761
Ga: 0.500 0.000 0.261

---

Compound: DyAlGa4
Source: Alexandria via LeMat-Bulk
Functional: PBE-GGA
Structure: optimized geometry

Calculated values
distance to the lowest polymorph of the same formula: 0.0000 eV per atom
uncorrected energy: -21.57 eV for the cell shown
total moment: 0.00 μB/f.u.

abc: 5.480 5.480 5.480
angles: 60.00 60.00 60.00
Fractional coordinates of all 6 atoms:
Dy: 0.000 0.000 0.000
Al: 0.250 0.250 0.250
Ga: 0.125 0.625 0.625
Ga: 0.625 0.125 0.625
Ga: 0.625 0.625 0.125
Ga: 0.625 0.625 0.625

---

Compound: DyAl2Ga3
Source: Alexandria via LeMat-Bulk
Functional: PBE-GGA
Structure: optimized geometry

Calculated values
distance to the lowest polymorph of the same formula: 0.1016 eV per atom
uncorrected energy: -44.91 eV for the cell shown
total moment: 0.00 μB/f.u.

abc: 5.867 5.428 8.019
angles: 90.00 111.37 90.00
Fractional coordinates of all 12 atoms:
Dy: 0.172 0.250 0.346
Dy: 0.828 0.750 0.654
Al: 0.235 0.000 0.001
Al: 0.235 0.500 0.001
Al: 0.765 0.000 0.999
Al: 0.765 0.500 0.999
Ga: 0.095 0.250 0.693
Ga: 0.351 0.750 0.700
Ga: 0.401 0.750 0.309
Ga: 0.599 0.250 0.691
Ga: 0.649 0.250 0.300
Ga: 0.905 0.750 0.307

---

Compound: Dy3Al2Ga3
Source: Alexandria via LeMat-Bulk
Functional: PBE-GGA
Structure: optimized geometry

Calculated values
uncorrected energy: -70.16 eV for the cell shown
total moment: 0.00 μB/f.u.

abc: 5.887 5.887 14.495
angles: 90.00 90.00 136.94
Fractional coordinates of all 16 atoms:
Dy: 0.074 0.926 0.616
Dy: 0.074 0.926 0.884
Dy: 0.358 0.642 0.750
Dy: 0.642 0.358 0.250
Dy: 0.926 0.074 0.116
Dy: 0.926 0.074 0.384
Al: 0.217 0.783 0.098
Al: 0.217 0.783 0.402
Al: 0.783 0.217 0.598
Al: 0.783 0.217 0.902
Ga: 0.353 0.647 0.250
Ga: 0.389 0.611 0.540
Ga: 0.389 0.611 0.960
Ga: 0.611 0.389 0.040
Ga: 0.611 0.389 0.460
Ga: 0.647 0.353 0.750

---

Question: Among the records above, which one has the highest uncorrected energy?
Answer: DyAlGa4

---

Question: Which formula does entry 4 have?
Answer: DyAlGa4

---

Question: uncorrected energy of number 1 (Dy5Al4Ga)?
Answer: -45.33 eV for the cell shown